(1)
# Rb2SrH2F2

A geometry-optimized Rb2SrH2F2 structure (PBE, Alexandria).

## Properties
Electronic total energy in eV per atom: -3.73

Lattice parameters (Å, degrees): 8.0203 8.0203 8.0203 145.68 145.68 49.32
Closest atoms and distances in Å follow each position.
Fractional coordinates of all 7 atoms:
Rb  0.1507  0.1507  0.0000  1 F 2.69
Rb  0.8493  0.8493  0.0000  1 F 2.69
Sr  0.5000  0.5000  0.0000  4 H 2.37, 2 F 2.40
H  0.0000  0.5000  0.5000  2 Sr 2.37
H  0.5000  0.0000  0.5000  2 Sr 2.37
F  0.3355  0.3355  0.0000  1 Sr 2.40
F  0.6645  0.6645  0.0000  1 Sr 2.40

---

(2)
# Sm6Ho2Sc

A geometry-optimized Sm6Ho2Sc structure (PBE, Alexandria).

## Properties
Electronic total energy in eV per atom: -4.70
Formation energy from the elements in eV/atom: 0.16
E above lowest polymorph in kJ/mol of atoms: 3.89

Lattice parameters (Å, degrees): 6.1398 6.1398 8.5785 103.99 103.99 71.56
Closest atoms and distances in Å follow each position.
Fractional coordinates of all 9 atoms:
Sm  0.1678  0.1678  0.5889  5 Sm 3.23-3.55, 1 Sc 3.61
Sm  0.1812  0.7048  0.7910  1 Sc 3.31, 3 Ho 3.35-3.59, 5 Sm 3.35-3.64
Sm  0.2952  0.8188  0.2090  1 Sc 3.31, 3 Ho 3.35-3.59, 5 Sm 3.35-3.64
Sm  0.7048  0.1812  0.7910  1 Sc 3.31, 3 Ho 3.35-3.59, 5 Sm 3.35-3.64
Sm  0.8188  0.2952  0.2090  1 Sc 3.31, 3 Ho 3.35-3.59, 5 Sm 3.35-3.64
Sm  0.8322  0.8322  0.4111  5 Sm 3.23-3.55, 1 Sc 3.61
Ho  0.2736  0.2736  0.0358  9 Sm 3.35-3.75, 2 Ho 3.65
Ho  0.7264  0.7264  0.9642  9 Sm 3.35-3.75, 2 Ho 3.65
Sc  0.5000  0.5000  0.5000  6 Sm 3.31-3.61

---

Among the records above, which one has the highest electronic total energy?
Rb2SrH2F2